Record 1
# LiAc2Si3Ni12 (PBE-GGA, optimized geometry)
# calculated volume = 14.14 Å³/atom
# formation energy without anion corrections = -57 meV per atom
data_LiAc2Si3Ni12
_cell_length_a 8.5535
_cell_length_b 8.5535
_cell_length_c 12.0508
_cell_angle_alpha 90.00
_cell_angle_beta 90.00
_cell_angle_gamma 120.00
_symmetry_space_group_name_H-M 'R -3 m'
_symmetry_Int_Tables_number 166
_symmetry_space_group_name_Hall '-R 3 2"'
loop_
_atom_site_label
_atom_site_type_symbol
_atom_site_fract_x
_atom_site_fract_y
_atom_site_fract_z
Li1 Li 0.0000 0.0000 0.0000
Ac1 Ac 0.0000 0.0000 0.3561
Si1 Si 0.0000 0.5000 0.5000
Ni1 Ni 0.0187 0.5094 0.6911
Ni2 Ni 0.0220 0.5110 0.8877

Record 2
# LiAcSiNi (PBE-GGA, optimized geometry)
# calculated volume = 20.24 Å³/atom
# formation energy without anion corrections = -397 meV per atom
data_LiAcSiNi
_cell_length_a 4.1135
_cell_length_b 4.1135
_cell_length_c 16.5775
_cell_angle_alpha 90.00
_cell_angle_beta 90.00
_cell_angle_gamma 120.00
_symmetry_space_group_name_H-M 'R 3 m'
_symmetry_Int_Tables_number 160
_symmetry_space_group_name_Hall 'R 3 -2"'
loop_
_atom_site_label
_atom_site_type_symbol
_atom_site_fract_x
_atom_site_fract_y
_atom_site_fract_z
Li1 Li 0.0000 0.0000 0.0000
Ac1 Ac 0.0000 0.0000 0.8087
Si1 Si 0.0000 0.0000 0.6063
Ni1 Ni 0.0000 0.0000 0.2861